1 | {"formula": "Pr2Nd5Sm4", "functional": "GGA-PBE", "state": "optimized geometry", "lattice_angstrom": [[3.5782, 0.0000, 0.0000], [0.0000, 9.3721, 0.0000], [-1.7891, -4.6861, 11.8745]], "species": ["Pr", "Pr", "Nd", "Nd", "Nd", "Nd", "Nd", "Sm", "Sm", "Sm", "Sm"], "frac_coords": [[0.2689, 0.2689, 0.5378], [0.7311, 0.7311, 0.4622], [0.8554, 0.0525, 0.7107], [0.8554, 0.6582, 0.7107], [0.1446, 0.3418, 0.2893], [0.1446, 0.9475, 0.2893], [0.5000, 0.0000, 0.0000], [0.0000, 0.3053, 0.0000], [0.5962, 0.5962, 0.1924], [0.0000, 0.6947, 0.0000], [0.4038, 0.4038, 0.8076]], "space_group": "Immm, No. 71", "dos_ef_per_ev_atom": 1.4946}



2 | {"formula": "Pr2Nd5Sm4", "functional": "GGA-PBE", "state": "optimized geometry", "lattice_angstrom": [[-1.7985, -2.6982, -1.3731], [2.7681, -5.2779, 6.7456], [-9.3138, 5.3840, 6.1345]], "species": ["Pr", "Pr", "Nd", "Nd", "Nd", "Nd", "Nd", "Sm", "Sm", "Sm", "Sm"], "frac_coords": [[0.9091, 0.2675, 0.8183], [0.0909, 0.7325, 0.1817], [0.1405, 0.1180, 0.2811], [0.8595, 0.8820, 0.7189], [0.2320, 0.8238, 0.4640], [0.5000, 0.0000, 0.0000], [0.7680, 0.1762, 0.5360], [0.6778, 0.4713, 0.3557], [0.0462, 0.3623, 0.0924], [0.3222, 0.5287, 0.6443], [0.9538, 0.6377, 0.9076]], "space_group": "C2/m, No. 12", "dos_ef_per_ev_atom": 1.6852}



Quick one: least stable of them? 1



1 | {"formula": "Pr5Nd3Sm2", "functional": "GGA-PBE", "state": "optimized geometry", "lattice_angstrom": [[5.5013, 0.0000, 1.2208], [2.9720, 5.8080, -0.3868], [0.1363, -5.5645, 12.3919]], "species": ["Pr", "Pr", "Pr", "Pr", "Pr", "Nd", "Nd", "Nd", "Sm", "Sm"], "frac_coords": [[0.0000, 0.0000, 0.0000], [0.1224, 0.2007, 0.5545], [0.8776, 0.7993, 0.4455], [0.5953, 0.5464, 0.2629], [0.4047, 0.4536, 0.7371], [0.5000, 0.5000, 0.5000], [0.1615, 0.5712, 0.1057], [0.8385, 0.4288, 0.8943], [0.3375, 0.0983, 0.2268], [0.6625, 0.9017, 0.7732]], "space_group": "C2/m, No. 12", "dos_ef_per_ev_atom": 1.4163}



2 | {"formula": "Pr5Nd3Sm2", "functional": "GGA-PBE", "state": "optimized geometry", "lattice_angstrom": [[-6.0695, -0.1138, -2.7374], [-0.2837, -8.6703, -7.1107], [-7.1931, -3.2174, 7.9828]], "species": ["Pr", "Pr", "Pr", "Pr", "Pr", "Pr", "Pr", "Pr", "Pr", "Pr", "Nd", "Nd", "Nd", "Nd", "Nd", "Nd", "Sm", "Sm", "Sm", "Sm"], "frac_coords": [[0.2543, 0.4166, 0.0749], [0.7543, 0.0749, 0.4166], [0.7457, 0.5834, 0.9251], [0.2457, 0.9251, 0.5834], [0.4993, 0.7507, 0.7507], [0.5007, 0.2493, 0.2493], [0.7500, 0.5000, 0.5000], [0.2500, 0.5000, 0.5000], [0.0007, 0.2493, 0.2493], [0.9993, 0.7507, 0.7507], [0.4155, 0.4162, 0.7527], [0.9155, 0.7527, 0.4162], [0.5845, 0.5838, 0.2473], [0.0845, 0.2473, 0.5838], [0.2500, 0.0000, 0.0000], [0.7500, 0.0000, 0.0000], [0.0876, 0.7445, 0.0803], [0.5876, 0.0803, 0.7445], [0.9124, 0.2555, 0.9197], [0.4124, 0.9197, 0.2555]], "space_group": "Ibam, No. 72", "dos_ef_per_ev_atom": 1.5879}



Quick one: least stable of them? 2



1 | {"formula": "Pr12Nd7Sm", "functional": "GGA-PBE", "state": "optimized geometry", "lattice_angstrom": [[-4.1724, -8.0051, 0.8577], [5.5627, -0.4899, 7.1444], [-6.4109, 5.3623, 3.5173]], "species": ["Pr", "Pr", "Pr", "Pr", "Pr", "Pr", "Pr", "Pr", "Pr", "Pr", "Pr", "Pr", "Nd", "Nd", "Nd", "Nd", "Nd", "Nd", "Nd", "Sm"], "frac_coords": [[0.7596, 0.2403, 0.5000], [0.7597, 0.5000, 0.2404], [0.3536, 0.0889, 0.3536], [0.9111, 0.6464, 0.6464], [0.5000, 0.2404, 0.7597], [0.6464, 0.6464, 0.9111], [0.3536, 0.3536, 0.0889], [0.5000, 0.7596, 0.2403], [0.0889, 0.3536, 0.3536], [0.6464, 0.9111, 0.6464], [0.2403, 0.5000, 0.7596], [0.2404, 0.7597, 0.5000], [0.0912, 0.6607, 0.0912], [0.3393, 0.9088, 0.9088], [0.9088, 0.9088, 0.3393], [0.5000, 0.5000, 0.5000], [0.0912, 0.0912, 0.6607], [0.6607, 0.0912, 0.0912], [0.9088, 0.3393, 0.9088], [0.0000, 0.0000, 0.0000]], "space_group": "R-3m, No. 166", "dos_ef_per_ev_atom": 1.5109}



2 | {"formula": "Pr12Nd7Sm", "functional": "GGA-PBE", "state": "optimized geometry", "lattice_angstrom": [[6.7672, 0.0000, 1.9582], [-3.7841, 9.5237, 4.6291], [-0.8009, 0.0000, 11.2164]], "species": ["Pr", "Pr", "Pr", "Pr", "Pr", "Pr", "Pr", "Pr", "Pr", "Pr", "Pr", "Pr", "Nd", "Nd", "Nd", "Nd", "Nd", "Nd", "Nd", "Sm"], "frac_coords": [[0.7299, 0.4780, 0.0675], [0.2026, 0.9325, 0.5455], [0.2891, 0.2155, 0.2147], [0.4963, 0.7853, 0.4302], [0.7481, 0.5455, 0.5220], [0.9264, 0.4302, 0.7845], [0.0736, 0.5698, 0.2155], [0.2519, 0.4545, 0.4780], [0.5037, 0.2147, 0.5698], [0.7109, 0.7845, 0.7853], [0.7974, 0.0675, 0.4545], [0.2701, 0.5220, 0.9325], [0.7820, 0.1622, 0.1430], [0.0751, 0.8570, 0.3052], [0.3802, 0.3052, 0.8378], [0.5000, 0.0000, 0.0000], [0.6198, 0.6948, 0.1622], [0.9249, 0.1430, 0.6948], [0.2180, 0.8378, 0.8570], [0.0000, 0.0000, 0.0000]], "space_group": "R-3, No. 148", "dos_ef_per_ev_atom": 1.2689}



Quick one: least stable of them? 2



1 | {"formula": "PrNd3Sm2", "functional": "GGA-PBE", "state": "optimized geometry", "lattice_angstrom": [[-2.8147, -0.0227, 2.1245], [1.5422, -5.5438, 1.9839], [6.0598, 6.8791, 5.1752]], "species": ["Pr", "Nd", "Nd", "Nd", "Sm", "Sm"], "frac_coords": [[0.0000, 0.0000, 0.0000], [0.0000, 0.5000, 0.0000], [0.8100, 0.8100, 0.6200], [0.1900, 0.1900, 0.3800], [0.6390, 0.6390, 0.2780], [0.3610, 0.3610, 0.7220]], "space_group": "Immm, No. 71", "dos_ef_per_ev_atom": 1.8085}



2 | {"formula": "PrNd3Sm2", "functional": "GGA-PBE", "state": "optimized geometry", "lattice_angstrom": [[-4.9117, -9.8927, -2.4869], [0.1575, -7.7229, 4.6399], [-6.1411, -4.6136, 4.7115]], "species": ["Pr", "Pr", "Nd", "Nd", "Nd", "Nd", "Nd", "Nd", "Sm", "Sm", "Sm", "Sm"], "frac_coords": [[0.0000, 0.5000, 0.5000], [0.0000, 0.0000, 0.0000], [0.5000, 0.2500, 0.7500], [0.5000, 0.7500, 0.2500], [0.2364, 0.0136, 0.5136], [0.7636, 0.4864, 0.9864], [0.7636, 0.9864, 0.4864], [0.2364, 0.5136, 0.0136], [0.9469, 0.2970, 0.2970], [0.5409, 0.2030, 0.2030], [0.4591, 0.7970, 0.7970], [0.0531, 0.7030, 0.7030]], "space_group": "Ibam, No. 72", "dos_ef_per_ev_atom": 1.7970}



Quick one: least stable of them? 2



1 | {"formula": "Pr3Nd5Sm4", "functional": "GGA-PBE", "state": "optimized geometry", "lattice_angstrom": [[6.1086, 0.0000, 0.0000], [3.0543, 7.7441, -2.7541], [3.0543, -0.9896, 9.4001]], "species": ["Pr", "Pr", "Pr", "Nd", "Nd", "Nd", "Nd", "Nd", "Sm", "Sm", "Sm", "Sm"], "frac_coords": [[0.5182, 0.6903, 0.2732], [0.0000, 0.5000, 0.5000], [0.4818, 0.3097, 0.7268], [0.6239, 0.9504, 0.8019], [0.5000, 0.5000, 0.5000], [0.2149, 0.4578, 0.1125], [0.7851, 0.5422, 0.8875], [0.3761, 0.0496, 0.1981], [0.8599, 0.2226, 0.0576], [0.1655, 0.0461, 0.6229], [0.8345, 0.9539, 0.3771], [0.1401, 0.7774, 0.9424]], "space_group": "C2/m, No. 12", "dos_ef_per_ev_atom": 1.6774}



2 | {"formula": "Pr3Nd5Sm4", "functional": "GGA-PBE", "state": "optimized geometry", "lattice_angstrom": [[7.0682, -0.3976, 1.9262], [-5.2884, 7.6379, -6.9710], [4.1348, -3.8780, 11.9735]], "species": ["Pr", "Pr", "Pr", "Nd", "Nd", "Nd", "Nd", "Nd", "Sm", "Sm", "Sm", "Sm"], "frac_coords": [[0.5857, 0.1683, 0.3337], [0.0000, 0.0000, 0.5000], [0.4143, 0.8317, 0.6663], [0.3336, 0.6675, 0.8336], [0.5000, 0.0000, 0.5000], [0.7488, 0.5007, 0.0005], [0.2512, 0.4993, 0.9995], [0.6664, 0.3325, 0.1664], [0.9176, 0.8336, 0.6675], [0.8341, 0.6675, 0.8335], [0.1659, 0.3325, 0.1665], [0.0824, 0.1664, 0.3325]], "space_group": "P-1, No. 2", "dos_ef_per_ev_atom": 1.5290}



Quick one: least stable of them? 1